P.
# CuMoI2O, relaxed, DFT PBE with a Hubbard U
# Fermi-level density of states: 8.6 states/eV/f.u.
data_CuMoI2O
_chemical_formula_sum 'Cu1 Mo1 I2 O1'
_cell_length_a 5.655
_cell_length_b 5.655
_cell_length_c 3.655
_cell_angle_alpha 90.00
_cell_angle_beta 90.00
_cell_angle_gamma 90.00
_symmetry_space_group_name_H-M 'P 4/m m m'
_symmetry_Int_Tables_number 123
_symmetry_space_group_name_Hall '-P 4 2'
loop_
_atom_site_label
_atom_site_fract_x
_atom_site_fract_y
_atom_site_fract_z
Cu1 0.000 0.000 0.000
Mo1 0.500 0.500 0.500
I1 0.000 0.500 0.000
O1 0.000 0.000 0.500


Q.
# CuMoI2O, relaxed, DFT PBE with a Hubbard U
# Fermi-level density of states: 1.9 states/eV/f.u.
data_CuMoI2O
_chemical_formula_sum 'Cu1 Mo1 I2 O1'
_cell_length_a 5.870
_cell_length_b 5.870
_cell_length_c 3.875
_cell_angle_alpha 90.00
_cell_angle_beta 90.00
_cell_angle_gamma 90.00
_symmetry_space_group_name_H-M 'P 4/m m m'
_symmetry_Int_Tables_number 123
_symmetry_space_group_name_Hall '-P 4 2'
loop_
_atom_site_label
_atom_site_fract_x
_atom_site_fract_y
_atom_site_fract_z
Cu1 0.000 0.000 0.000
Mo1 0.500 0.500 0.500
I1 0.000 0.500 0.500
O1 0.500 0.500 0.000


The energetic minimum among the shown structures is Q; the next structure lies 349 meV/atom above.